Entry from Alexandria: a relaxed MoAsAu2S crystal (GGA-PBE).

a b c (Å): 4.8043 5.0535 4.8043
angles (deg): 90.00 90.00 90.00
Last column: magnetic moment on the atom in μB.
Atoms (fractional coordinates):
S (0.5000, 0.5000, 0.5000)  -0.17
Au (0.0000, 0.0000, 0.5000)  0.02
Au (0.5000, 0.0000, 0.0000)  -0.03
As (0.0000, 0.0000, 0.0000)  -0.05
Mo (0.0000, 0.5000, 0.0000)  2.75

For the uncorrected formation energy, the calculation gives 0.9592 eV per atom.